(1)
BeCrNiO4 | PBE+U | relaxed

Unit cell a=4.775 b=4.775 c=6.153 alpha=90.00 beta=90.00 gamma=112.26
Sites, in units of the cell vectors:
1 Be 0.154 0.846 0.750
2 Be 0.846 0.154 0.250
3 Cr 0.500 0.500 0.000
4 Cr 0.500 0.500 0.500
5 Ni 0.174 0.826 0.250
6 Ni 0.826 0.174 0.750
7 O 0.228 0.273 0.250
8 O 0.270 0.730 0.539
9 O 0.270 0.730 0.961
10 O 0.273 0.228 0.750
11 O 0.727 0.772 0.250
12 O 0.730 0.270 0.039
13 O 0.730 0.270 0.461
14 O 0.772 0.727 0.750

Output
For the total energy, the calculation gives -6.368 eV/atom. The symmetry is Cmcm, No. 63. As for the crystal system: orthorhombic.


(2)
Be2CrNiO | PBE+U | relaxed

Unit cell a=4.099 b=4.099 c=3.690 alpha=90.00 beta=90.00 gamma=90.00
Sites, in units of the cell vectors:
1 Be 0.000 0.500 0.000
2 Be 0.500 0.000 0.000
3 Cr 0.000 0.000 0.500
4 Ni 0.500 0.500 0.000
5 O 0.500 0.500 0.500

Output
For the total energy, the calculation gives -3.925 eV/atom. The symmetry is P4/mmm, No. 123. As for the crystal system: tetragonal. The density of states at the Fermi level is 1.92 states/eV per cell.


Number 1: size of the total moment 2.00 μB/f.u.. Number 2: size of the total moment 5.03 μB/f.u..